# 1
Density functional theory data (PBE) for crystalline Er5In2CoRu2 at its relaxed geometry.

Properties
Size of the total moment: 0.556 μB/cell
ΔH_f (0 K): -0.2895 eV/atom

The structure in POSCAR format:
```
Er5In2CoRu2
1.0
3.416 0.000 0.000
0.000 11.538 0.000
0.000 0.000 11.538
Er Ru In Co
10 4 4 2
Direct
0.500 0.439 0.306
0.500 0.561 0.694
0.500 0.694 0.439
0.500 0.939 0.194
0.500 0.194 0.061
0.500 0.306 0.561
0.500 0.806 0.939
0.500 0.000 0.500
0.500 0.061 0.806
0.500 0.500 0.000
0.000 0.863 0.363
0.000 0.637 0.863
0.000 0.363 0.137
0.000 0.137 0.637
0.000 0.682 0.182
0.000 0.818 0.682
0.000 0.318 0.818
0.000 0.182 0.318
0.000 0.000 0.000
0.000 0.500 0.500
```

***

# 2
Density functional theory data (PBE) for crystalline Er3Sc3In2Co at its relaxed geometry.

Properties
Size of the total moment: 0.000 μB/cell
ΔH_f (0 K): -0.3215 eV/atom

The structure in POSCAR format:
```
Er3Sc3In2Co
1.0
-0.726 -2.239 2.856
7.060 -4.108 -1.425
-0.038 6.531 5.109
Er Co Sc In
3 1 3 2
Direct
0.000 0.388 0.000
0.000 0.612 0.612
0.000 0.000 0.388
0.000 0.000 0.000
0.500 0.772 0.000
0.500 0.000 0.772
0.500 0.228 0.228
0.500 0.667 0.333
0.500 0.333 0.667
```

***

# 3
Density functional theory data (PBE) for crystalline ErScInCo at its relaxed geometry.

Properties
Size of the total moment: 1.066 μB/cell
Polymorph energy (0 for the lowest one): 144 meV per atom
ΔH_f (0 K): -0.2264 eV/atom

The structure in POSCAR format:
```
ErScInCo
1.0
-0.539 2.436 4.229
-4.343 0.011 2.291
-0.565 -2.474 4.204
Co Sc In Er
1 1 1 1
Direct
0.250 0.250 0.250
0.000 0.000 0.000
0.750 0.750 0.750
0.500 0.500 0.500
```

***

# 4
Density functional theory data (PBE) for crystalline ErScInCo at its relaxed geometry.

Properties
Size of the total moment: 0.239 μB/cell
Polymorph energy (0 for the lowest one): 0 meV per atom
ΔH_f (0 K): -0.3703 eV/atom

The structure in POSCAR format:
```
ErScInCo
1.0
-1.063 1.497 2.679
-2.813 -1.609 -0.217
2.927 -5.706 4.351
Sc In Er Co
1 1 1 1
Direct
0.500 0.500 0.369
0.000 0.000 0.088
0.500 0.500 0.776
0.000 0.000 0.552
```

***

# 5
Density functional theory data (PBE) for crystalline SmErInCo at its relaxed geometry.

Properties
Size of the total moment: 1.241 μB/cell
ΔH_f (0 K): -0.1725 eV/atom

The structure in POSCAR format:
```
SmErInCo
1.0
5.121 0.000 0.000
2.560 4.435 0.000
2.560 1.478 4.181
Er Co Sm In
1 1 1 1
Direct
0.000 0.000 0.000
0.750 0.750 0.750
0.500 0.500 0.500
0.250 0.250 0.250
```

***

# 6
Density functional theory data (PBE) for crystalline TbErInCo at its relaxed geometry.

Properties
Size of the total moment: 0.688 μB/cell
Polymorph energy (0 for the lowest one): 0 meV per atom
ΔH_f (0 K): -0.3213 eV/atom

The structure in POSCAR format:
```
TbErInCo
1.0
-2.794 1.061 -1.669
0.357 -2.570 -2.232
-4.376 -4.490 4.470
Co Er Tb In
1 1 1 1
Direct
0.000 0.000 0.565
0.500 0.500 0.360
0.500 0.500 0.784
0.000 0.000 0.076
```

***

# 7
Density functional theory data (PBE) for crystalline TbErInCo at its relaxed geometry.

Properties
Size of the total moment: 1.237 μB/cell
Polymorph energy (0 for the lowest one): 120 meV per atom
ΔH_f (0 K): -0.2015 eV/atom

The structure in POSCAR format:
```
TbErInCo
1.0
-1.179 -3.403 -3.574
1.001 -4.918 0.750
-3.800 -3.274 0.769
Co In Tb Er
1 1 1 1
Direct
0.000 0.000 0.000
0.500 0.500 0.500
0.250 0.250 0.250
0.750 0.750 0.750
```

***

# 8
Density functional theory data (PBE) for crystalline ErZnInCo at its relaxed geometry.

Properties
Size of the total moment: 1.143 μB/cell
ΔH_f (0 K): -0.1586 eV/atom

The structure in POSCAR format:
```
ErZnInCo
1.0
-0.137 -2.630 -3.875
1.645 -4.386 0.087
-2.963 -3.619 -0.271
Zn In Er Co
1 1 1 1
Direct
0.000 0.000 0.000
0.250 0.250 0.250
0.750 0.750 0.750
0.500 0.500 0.500
```